# 1
Here is a relaxed Ce2MgH8 crystal from the Alexandria database. Energies are from PBE-GGA.

It has space group Immm (No. 71), with a = 3.849 Å, b = 4.916 Å, c = 11.248 Å, α = 90.00°, β = 90.00° and γ = 90.00°. The inequivalent atoms are Ce at (0.000, 0.000, 0.172), Mg at (0.000, 0.000, 0.500), H at (0.000, 0.247, 0.359), H at (0.000, 0.251, 0.000) and H at (0.000, 0.500, 0.200).

The calculation puts the total energy at -4.086 eV/atom.

=====

# 2
Here is a relaxed LiPrZnPb crystal from the Alexandria database. Energies are from PBE-GGA.

It has space group F-43m (No. 216), with a = 7.346 Å, b = 7.346 Å, c = 7.346 Å, α = 90.00°, β = 90.00° and γ = 90.00°. The inequivalent atoms are Li at (0.000, 0.000, 0.000), Pr at (0.000, 0.000, 0.500), Zn at (0.250, 0.250, 0.750) and Pb at (0.250, 0.250, 0.250).

The calculation puts the formation enthalpy at 0 K at -337 meV/atom.

=====

# 3
Here is a relaxed CoW crystal from the Alexandria database. Energies are from PBE-GGA.

It has space group I4/m (No. 87), with a = 9.213 Å, b = 9.213 Å, c = 2.637 Å, α = 90.00°, β = 90.00° and γ = 90.00°. The inequivalent atoms are Co at (0.082, 0.631, 0.000) and W at (0.119, 0.172, 0.000).

The calculation puts the formation enthalpy at 0 K at 555 meV/atom.

=====

# 4
Here is a relaxed GaNi8Pt3 crystal from the Alexandria database. Energies are from PBE-GGA.

It has space group P1 (No. 1), with a = 2.700 Å, b = 6.922 Å, c = 8.770 Å, α = 68.92°, β = 89.99° and γ = 78.78°. The inequivalent atoms are Ga at (0.000, 0.000, 0.000), Ni at (0.013, 0.974, 0.526), Ni at (0.176, 0.645, 0.440), Ni at (0.338, 0.324, 0.846), Ni at (0.498, 0.005, 0.754), Ni at (0.672, 0.655, 0.673), Ni at (0.673, 0.649, 0.185), Ni at (0.837, 0.326, 0.095), Ni at (0.838, 0.325, 0.609), Pt at (0.169, 0.661, 0.924), Pt at (0.342, 0.316, 0.361) and Pt at (0.511, 0.978, 0.262).

The calculation puts the formation enthalpy at 0 K at -118 meV/atom.

=====

# 5
Here is a relaxed Nd2NiH6Rh crystal from the Alexandria database. Energies are from PBE-GGA.

It has space group Fmmm (No. 69), with a = 7.295 Å, b = 7.412 Å, c = 7.430 Å, α = 90.00°, β = 90.00° and γ = 90.00°. The inequivalent atoms are Nd at (0.250, 0.250, 0.250), Ni at (0.000, 0.000, 0.000), H at (0.000, 0.000, 0.244), H at (0.000, 0.243, 0.000), H at (0.244, 0.000, 0.000) and Rh at (0.000, 0.000, 0.500).

The calculation puts the total energy at -4.787 eV/atom.

=====

# 6
Here is a relaxed RbEuIn4 crystal from the Alexandria database. Energies are from PBE-GGA.

It has space group F-43m (No. 216), with a = 9.013 Å, b = 9.013 Å, c = 9.013 Å, α = 90.00°, β = 90.00° and γ = 90.00°. The inequivalent atoms are Rb at (0.000, 0.000, 0.000), Eu at (0.250, 0.250, 0.750) and In at (0.125, 0.125, 0.375).

The calculation puts the formation enthalpy at 0 K at -228 meV/atom.